# 1
Li2PrHg PBE-GGA relaxed; formation energy = -0.87 eV per formula unit; offset from the most stable computed form = 18 meV/atom; calculated total energy = -2.4455 eV per atom; V = 23.637 Å³ per atom
1.0
4.7815 -0.5264 0.0000
0.8141 7.3937 0.0000
2.3908 -0.2632 5.2846
Li Pr Hg
4 2 2
direct
0.3605 0.5603 0.2789 Li
0.3605 0.9397 0.2789 Li
0.6395 0.4397 0.7211 Li
0.6395 0.0603 0.7211 Li
0.9244 0.2500 0.1512 Pr
0.0756 0.7500 0.8488 Pr
0.2180 0.2500 0.5641 Hg
0.7820 0.7500 0.4359 Hg


# 2
LiPrHg PBE-GGA relaxed; formation energy = -0.82 eV per formula unit; offset from the most stable computed form = 70 meV/atom; calculated total energy = -2.6066 eV per atom; V = 25.127 Å³ per atom
1.0
-0.5862 -2.8681 -2.3367
3.5810 -1.0319 0.3684
-2.6550 -6.2515 8.3301
Li Pr Hg
2 2 2
direct
0.8727 0.2914 0.8257 Li
0.3723 0.7912 0.6866 Li
0.8726 0.2912 0.1401 Pr
0.3720 0.7909 0.3722 Pr
0.8720 0.2908 0.5570 Hg
0.3730 0.7912 0.9553 Hg


# 3
Li3Pr3Hg2 PBE-GGA relaxed; formation energy = -1.55 eV per formula unit; calculated total energy = -2.7795 eV per atom; V = 25.967 Å³ per atom
1.0
-3.5357 0.8157 -4.4882
-4.5358 -7.5619 2.1989
-9.7091 8.4969 9.1929
Li Pr Hg
12 12 8
direct
0.1425 0.1659 0.2500 Li
0.6425 0.3341 0.7500 Li
0.8575 0.8341 0.7500 Li
0.3575 0.6659 0.2500 Li
0.6102 0.3203 0.4660 Li
0.1102 0.1797 0.5340 Li
0.3898 0.6797 0.9660 Li
0.8898 0.8203 0.0340 Li
0.3898 0.6797 0.5340 Li
0.8898 0.8203 0.4660 Li
0.6102 0.3203 0.0340 Li
0.1102 0.1797 0.9660 Li
0.1295 0.4506 0.3934 Pr
0.6295 0.0494 0.6066 Pr
0.8705 0.5494 0.8934 Pr
0.3705 0.9506 0.1066 Pr
0.8705 0.5494 0.6066 Pr
0.3705 0.9506 0.3934 Pr
0.1295 0.4506 0.1066 Pr
0.6295 0.0494 0.8934 Pr
0.6491 0.3337 0.2500 Pr
0.1491 0.1663 0.7500 Pr
0.3509 0.6663 0.7500 Pr
0.8509 0.8337 0.2500 Pr
0.8664 0.1086 0.3921 Hg
0.3664 0.3914 0.6079 Hg
0.1336 0.8914 0.8921 Hg
0.6336 0.6086 0.1079 Hg
0.1336 0.8914 0.6079 Hg
0.6336 0.6086 0.3921 Hg
0.8664 0.1086 0.1079 Hg
0.3664 0.3914 0.8921 Hg


# 4
LiPrHg PBE-GGA relaxed; formation energy = -0.38 eV per formula unit; offset from the most stable computed form = 219 meV/atom; calculated total energy = -2.4576 eV per atom; V = 29.886 Å³ per atom
1.0
5.0238 0.0000 0.0000
2.5119 4.3508 0.0000
2.5119 1.4503 4.1019
Pr Hg Li
1 1 1
direct
0.5000 0.5000 0.5000 Pr
0.2500 0.2500 0.2500 Hg
0.0000 0.0000 0.0000 Li


# 5
LiPr12Hg6 PBE-GGA relaxed; formation energy = -3.20 eV per formula unit; calculated total energy = -3.3831 eV per atom; V = 30.683 Å³ per atom
1.0
9.1488 -1.1408 -1.3667
-2.5146 8.8701 -1.3667
-2.5146 -2.9297 8.4831
Li Pr Hg
1 12 6
direct
0.0000 0.0000 0.0000 Li
0.8090 0.6525 0.5187 Pr
0.5187 0.8090 0.6525 Pr
0.6525 0.5187 0.8090 Pr
0.1910 0.3475 0.4813 Pr
0.4813 0.1910 0.3475 Pr
0.3475 0.4813 0.1910 Pr
0.9182 0.8309 0.2756 Pr
0.1691 0.7244 0.0818 Pr
0.7244 0.0818 0.1691 Pr
0.0818 0.1691 0.7244 Pr
0.8309 0.2756 0.9182 Pr
0.2756 0.9182 0.8309 Pr
0.6428 0.9265 0.4116 Hg
0.5884 0.3572 0.0735 Hg
0.0735 0.5884 0.3572 Hg
0.3572 0.0735 0.5884 Hg
0.4116 0.6428 0.9265 Hg
0.9265 0.4116 0.6428 Hg


# 6
LiPrHg2 PBE-GGA relaxed; formation energy = -1.45 eV per formula unit; offset from the most stable computed form = 92 meV/atom; calculated total energy = -2.1864 eV per atom; V = 23.050 Å³ per atom
1.0
-1.2669 4.3069 2.3541
-4.8494 0.9302 1.1467
-1.5271 -0.1092 4.8363
Li Pr Hg
1 1 2
direct
0.7497 0.7497 0.7510 Li
0.4999 0.4999 0.5002 Pr
0.0002 0.0002 0.9993 Hg
0.2502 0.2502 0.2495 Hg


# 7
LiPrHg2 PBE-GGA relaxed; formation energy = -1.55 eV per formula unit; offset from the most stable computed form = 66 meV/atom; calculated total energy = -2.2124 eV per atom; V = 23.534 Å³ per atom
1.0
3.5296 0.0000 0.0000
0.0000 3.5296 0.0000
0.0000 0.0000 7.5563
Pr Hg Li
1 2 1
direct
0.5000 0.5000 0.5000 Pr
0.0000 0.0000 0.7935 Hg
0.0000 0.0000 0.2065 Hg
0.5000 0.5000 0.0000 Li


# 8
Li3PrHg PBE-GGA relaxed; formation energy = -0.69 eV per formula unit; calculated total energy = -2.3029 eV per atom; V = 23.899 Å³ per atom
1.0
-3.7034 1.6980 -0.8957
-1.1253 -3.5062 -1.9864
-4.9937 -3.4052 4.3872
Li Pr Hg
3 1 1
direct
0.6485 0.9506 0.4109 Li
0.1466 0.4517 0.4119 Li
0.7931 0.5966 0.1161 Li
0.4117 0.2150 0.8812 Pr
0.0079 0.8113 0.6910 Hg